# 1
# Pr4GeTe2Br | the Alexandria database | PBE | optimized geometry
# - raw formation energy (eV per atom) = -1.30
data_Pr4GeTe2Br
_chemical_formula_sum 'Pr4 Ge1 Te2 Br1'
_cell_length_a 4.4078
_cell_length_b 7.7376
_cell_length_c 7.7177
_cell_angle_alpha 71.08
_cell_angle_beta 90.00
_cell_angle_gamma 90.00
_symmetry_space_group_name_H-M 'P 1'
_symmetry_Int_Tables_number 1
loop_
_symmetry_equiv_pos_as_xyz
'x,y,z'
loop_
_atom_site_label
_atom_site_type_symbol
_atom_site_fract_x
_atom_site_fract_y
_atom_site_fract_z
_atom_site_occupancy
Pr1 Pr 0.0000 0.7362 0.7329 1
Pr2 Pr 0.0000 0.2638 0.2671 1
Pr3 Pr 0.5000 0.7254 0.2742 1
Pr4 Pr 0.5000 0.2746 0.7258 1
Ge1 Ge 0.0000 0.5000 0.5000 1
Te1 Te 0.0000 0.0000 0.0000 1
Te2 Te 0.5000 0.0000 0.5000 1
Br1 Br 0.5000 0.5000 0.0000 1

# 2
# Rb5Se | the Alexandria database | PBE | optimized geometry
# - raw formation energy (eV per atom) = -0.30
# - polymorph energy (0 for the lowest one) (meV/atom) = 151.1
data_Rb5Se
_chemical_formula_sum 'Rb5 Se1'
_cell_length_a 5.9238
_cell_length_b 6.0388
_cell_length_c 9.9030
_cell_angle_alpha 107.75
_cell_angle_beta 90.00
_cell_angle_gamma 90.00
_symmetry_space_group_name_H-M 'P 1'
_symmetry_Int_Tables_number 1
loop_
_symmetry_equiv_pos_as_xyz
'x,y,z'
loop_
_atom_site_label
_atom_site_type_symbol
_atom_site_fract_x
_atom_site_fract_y
_atom_site_fract_z
_atom_site_occupancy
Se1 Se 0.0000 0.0000 0.0000 1
Rb1 Rb 0.5000 0.8587 0.7175 1
Rb2 Rb 0.0000 0.6403 0.2806 1
Rb3 Rb 0.5000 0.5000 0.0000 1
Rb4 Rb 0.0000 0.3597 0.7194 1
Rb5 Rb 0.5000 0.1413 0.2825 1

# 3
# TaNbAg2 | the Alexandria database | PBE | optimized geometry
# - formation energy (eV/atom) = 0.819
# - polymorph energy (0 for the lowest one) (meV/atom) = 231.5
data_TaNbAg2
_chemical_formula_sum 'Ta2 Nb2 Ag4'
_cell_length_a 7.6131
_cell_length_b 7.6131
_cell_length_c 6.0041
_cell_angle_alpha 50.65
_cell_angle_beta 50.65
_cell_angle_gamma 90.00
_symmetry_space_group_name_H-M 'P 1'
_symmetry_Int_Tables_number 1
loop_
_symmetry_equiv_pos_as_xyz
'x,y,z'
loop_
_atom_site_label
_atom_site_type_symbol
_atom_site_fract_x
_atom_site_fract_y
_atom_site_fract_z
_atom_site_occupancy
Nb1 Nb 0.5000 0.5000 0.0000 1
Nb2 Nb 0.2500 0.7500 0.5000 1
Ag1 Ag 0.6299 0.1250 0.2500 1
Ag2 Ag 0.1201 0.6250 0.2500 1
Ag3 Ag 0.3750 0.3701 0.7500 1
Ag4 Ag 0.8750 0.8799 0.7500 1
Ta1 Ta 0.0000 0.0000 0.0000 1
Ta2 Ta 0.7500 0.2500 0.5000 1

# 4
# PdPbBr6 | the Alexandria database | PBE | optimized geometry
# - raw formation energy (eV per atom) = -0.40
# - polymorph energy (0 for the lowest one) (meV/atom) = 55.8
data_PdPbBr6
_chemical_formula_sum 'Pd1 Pb1 Br6'
_cell_length_a 6.7394
_cell_length_b 6.7390
_cell_length_c 7.4383
_cell_angle_alpha 63.07
_cell_angle_beta 63.07
_cell_angle_gamma 60.00
_symmetry_space_group_name_H-M 'P 1'
_symmetry_Int_Tables_number 1
loop_
_symmetry_equiv_pos_as_xyz
'x,y,z'
loop_
_atom_site_label
_atom_site_type_symbol
_atom_site_fract_x
_atom_site_fract_y
_atom_site_fract_z
_atom_site_occupancy
Pd1 Pd 0.0000 0.0000 0.0000 1
Pb1 Pb 0.5000 0.5000 0.5000 1
Br1 Br 0.0352 0.4003 0.7718 1
Br2 Br 0.7928 0.0351 0.7718 1
Br3 Br 0.5997 0.2073 0.2282 1
Br4 Br 0.2072 0.9649 0.2282 1
Br5 Br 0.9648 0.5997 0.2282 1
Br6 Br 0.4003 0.7927 0.7718 1

# 5
# CsV2GeCl8 | the Alexandria database | PBE | optimized geometry
# - raw formation energy (eV per atom) = -1.13
data_CsV2GeCl8
_chemical_formula_sum 'Cs1 V2 Ge1 Cl8'
_cell_length_a 6.6577
_cell_length_b 6.6577
_cell_length_c 10.4450
_cell_angle_alpha 71.42
_cell_angle_beta 71.42
_cell_angle_gamma 60.00
_symmetry_space_group_name_H-M 'P 1'
_symmetry_Int_Tables_number 1
loop_
_symmetry_equiv_pos_as_xyz
'x,y,z'
loop_
_atom_site_label
_atom_site_type_symbol
_atom_site_fract_x
_atom_site_fract_y
_atom_site_fract_z
_atom_site_occupancy
Cs1 Cs 0.5000 0.5000 0.5000 1
V1 V 0.2588 0.2588 0.2236 1
V2 V 0.7412 0.7412 0.7764 1
Ge1 Ge 0.0000 0.0000 0.0000 1
Cl1 Cl 0.1815 0.1815 0.4555 1
Cl2 Cl 0.6150 0.2764 0.1620 1
Cl3 Cl 0.8185 0.8185 0.5445 1
Cl4 Cl 0.9466 0.6150 0.1620 1
Cl5 Cl 0.0534 0.3850 0.8380 1
Cl6 Cl 0.2764 0.9466 0.1620 1
Cl7 Cl 0.7236 0.0534 0.8380 1
Cl8 Cl 0.3850 0.7236 0.8380 1

# 6
# BiBTeI2 | the Alexandria database | PBE | optimized geometry
# - raw formation energy (eV per atom) = 0.65
# - polymorph energy (0 for the lowest one) (meV/atom) = 0.0
data_BiBTeI2
_chemical_formula_sum 'Bi1 B1 Te1 I2'
_cell_length_a 4.9722
_cell_length_b 4.9722
_cell_length_c 5.4449
_cell_angle_alpha 90.00
_cell_angle_beta 90.00
_cell_angle_gamma 90.00
_symmetry_space_group_name_H-M 'P 1'
_symmetry_Int_Tables_number 1
loop_
_symmetry_equiv_pos_as_xyz
'x,y,z'
loop_
_atom_site_label
_atom_site_type_symbol
_atom_site_fract_x
_atom_site_fract_y
_atom_site_fract_z
_atom_site_occupancy
I1 I 0.0000 0.5000 0.0000 1
I2 I 0.5000 0.0000 0.0000 1
B1 B 0.0000 0.0000 0.0000 1
Te1 Te 0.0000 0.0000 0.5000 1
Bi1 Bi 0.5000 0.5000 0.5000 1

# 7
# AgPI2N | the Alexandria database | PBE | optimized geometry
# - raw formation energy (eV per atom) = 1.38
# - polymorph energy (0 for the lowest one) (meV/atom) = 859.7
data_AgPI2N
_chemical_formula_sum 'Ag1 P1 I2 N1'
_cell_length_a 5.7538
_cell_length_b 5.7538
_cell_length_c 4.0355
_cell_angle_alpha 90.00
_cell_angle_beta 90.00
_cell_angle_gamma 90.00
_symmetry_space_group_name_H-M 'P 1'
_symmetry_Int_Tables_number 1
loop_
_symmetry_equiv_pos_as_xyz
'x,y,z'
loop_
_atom_site_label
_atom_site_type_symbol
_atom_site_fract_x
_atom_site_fract_y
_atom_site_fract_z
_atom_site_occupancy
I1 I 0.0000 0.5000 0.0000 1
I2 I 0.5000 0.0000 0.0000 1
P1 P 0.5000 0.5000 0.5000 1
Ag1 Ag 0.0000 0.0000 0.0000 1
N1 N 0.0000 0.0000 0.5000 1

# 8
# ScAs2Rh2 | the Alexandria database | PBE | optimized geometry
# - formation energy (eV/atom) = -0.511
data_ScAs2Rh2
_chemical_formula_sum 'Sc1 As2 Rh2'
_cell_length_a 4.5501
_cell_length_b 4.5501
_cell_length_c 5.4054
_cell_angle_alpha 65.11
_cell_angle_beta 65.11
_cell_angle_gamma 90.00
_symmetry_space_group_name_H-M 'P 1'
_symmetry_Int_Tables_number 1
loop_
_symmetry_equiv_pos_as_xyz
'x,y,z'
loop_
_atom_site_label
_atom_site_type_symbol
_atom_site_fract_x
_atom_site_fract_y
_atom_site_fract_z
_atom_site_occupancy
Sc1 Sc 0.0000 0.0000 0.0000 1
As1 As 0.7500 0.2500 0.5000 1
As2 As 0.2500 0.7500 0.5000 1
Rh1 Rh 0.3521 0.3521 0.2959 1
Rh2 Rh 0.6479 0.6479 0.7041 1

Number 1: theoretical density 6.48 g/cm³. Number 2: theoretical density 2.49 g/cm³. Number 3: theoretical density 10.55 g/cm³. Number 4: theoretical density 5.28 g/cm³. Number 5: theoretical density 2.63 g/cm³. Number 6: theoretical density 7.42 g/cm³. Number 7: theoretical density 5.05 g/cm³. Number 8: theoretical density 7.40 g/cm³.